Ce12RhAu6: optimized geometry, PBE.

```
Ce12RhAu6
1.0
5.653 3.264 4.223
-5.653 3.264 4.223
0.000 -6.528 4.223
Ce Rh Au
12 1 6
Cartesian
-3.483 -3.869 6.974 Ce
-5.092 1.082 5.695 Ce
-1.889 -0.496 4.082 Ce
1.610 -4.951 5.695 Ce
1.374 -1.388 4.082 Ce
0.515 1.884 4.082 Ce
-0.515 -1.884 8.587 Ce
-1.374 1.388 8.587 Ce
-1.610 4.951 6.974 Ce
1.889 0.496 8.587 Ce
5.092 -1.082 6.974 Ce
3.483 3.869 5.695 Ce
0.000 0.000 6.335 Rh
-0.794 -2.967 5.702 Au
-2.966 -0.796 6.967 Au
-2.172 2.171 5.702 Au
2.172 -2.171 6.967 Au
2.966 0.796 5.702 Au
0.794 2.967 6.967 Au
```

Output
Space-group type ... R-3, No. 148
Size of the total moment ... 7.9 μB/cell
Formation enthalpy at 0 K ... -36.36 kJ per mole of atoms